Computed, not measured: DyFe2GeO6 after structural relaxation at the PBE with a Hubbard U level of DFT.

## Properties
Size of the total moment, μB per formula unit: 5.00
Energy, eV/atom: -6.89

Structure (POSCAR):
```
DyFe2GeO6
1.0
5.1666 0.0000 0.0000
2.5812 4.4866 0.0000
2.5616 -1.4260 4.8144
Dy Fe Ge O
1 2 1 6
Direct
0.0000 0.0000 0.0000
0.4143 0.7906 0.3871
0.4579 0.2755 0.8268
0.0466 0.4760 0.4402
0.2243 0.1953 0.6327
0.2684 0.0810 0.1740
0.4861 0.4375 0.1839
0.5775 0.5713 0.6358
0.9062 0.6582 0.1812
0.9543 0.8454 0.6323
```